(1)
Rb3Ag3Sn8: relaxed, PBE.

```
Rb3Ag3Sn8
1.0
-2.3092 4.0881 1.7612
-4.8553 -2.9990 7.7342
4.9083 2.4749 7.8298
Rb Ag Sn
3 3 8
direct
0.0000 0.0000 0.0000
0.3004 0.6981 0.7010
0.6996 0.3019 0.2990
0.3360 0.3092 0.0189
0.0000 0.5000 0.5000
0.6640 0.6908 0.9811
0.5069 0.6867 0.2995
0.8434 0.8772 0.4360
0.4931 0.3133 0.7005
0.1420 0.5738 0.1423
0.8580 0.4262 0.8577
0.6490 0.9721 0.7299
0.1566 0.1228 0.5640
0.3510 0.0279 0.2701
```

Properties
As for the electronic total energy: -44.36 eV/cell. The calculation puts the density of states at the Fermi level at 0.45 states/eV/atom. The total magnetization is 0.00 μB/f.u. The calculation puts the formation energy at -85 kJ/mol of formula units. The offset from the most stable computed form is 24 meV/atom.

***

(2)
Zn2SbTe: relaxed, PBE.

```
Zn2SbTe
1.0
3.9790 -0.0170 0.0024
1.9821 3.4502 0.0024
2.0135 1.1597 6.8305
Sb Zn Te
1 2 1
direct
0.7500 0.7500 0.7500
0.9990 0.9990 0.0037
0.5010 0.5010 0.4963
0.2500 0.2500 0.2500
```

Properties
As for the electronic total energy: -9.87 eV/cell. The calculation puts the density of states at the Fermi level at 0.48 states/eV/atom. The total magnetization is 0.00 μB/f.u. The energy relative to the elements, uncorrected is -0.0137 eV/atom.

***

(3)
Nd6TlAs2S3: relaxed, PBE.

```
Nd6TlAs2S3
1.0
-4.1205 -0.0036 -0.7588
-1.1264 -5.7724 6.1440
1.2279 7.9930 4.8618
Nd Tl S As
6 1 3 2
direct
0.9992 0.2699 0.9984
0.6674 0.5829 0.3349
0.3326 0.4171 0.6651
0.0008 0.7301 0.0016
0.3274 0.9132 0.6548
0.6726 0.0868 0.3452
0.5000 0.0000 0.0000
0.8326 0.1679 0.6652
0.1674 0.8321 0.3348
0.5000 0.5000 0.0000
0.8329 0.6659 0.6658
0.1671 0.3341 0.3342
```

Properties
As for the electronic total energy: -71.25 eV/cell. The calculation puts the density of states at the Fermi level at 0.35 states/eV/atom. The total magnetization is 0.00 μB/f.u. The energy relative to the elements, uncorrected is -1.5494 eV/atom.